Here is a geometry-optimized CrTe2Cl structure from Alexandria via LeMat-Bulk. Energies are from PBE.

Summary:
ΔE to the lowest computed polymorph   1.57 eV/f.u.
Uncorrected energy   -4.37 eV/atom
Symmetry   P4/mmm (123)
D(E_F)   3.5 states/eV/cell
M_tot   0.37 μB/f.u.
Energy relative to the elements, uncorrected   0.07 eV per atom

a = 3.268 Å, b = 3.268 Å, c = 7.962 Å
α = 90.00°, β = 90.00°, γ = 90.00°
Site moments in Bohr magnetons follow the coordinates.
Fractional coordinates of all 4 atoms:
Te 0.000 0.000 0.949  -0.03
Te 0.000 0.000 0.551  -0.03
Cl 0.500 0.500 0.250  0.01
Cr 0.500 0.500 0.750  0.42